Computed, not measured: a relaxed structure of NdNbBi2 at the GGA-PBE level of DFT.

```
NdNbBi2
1.0
1.7678 1.0206 10.8863
-1.7678 1.0206 10.8863
0.0000 -2.0412 10.8863
Nd Nb Bi
1 1 2
direct
0.0000 0.0000 0.0000 Nd
0.5000 0.5000 0.5000 Nb
0.1013 0.1013 0.1013 Bi
0.8987 0.8987 0.8987 Bi
```

**Total DFT energy (no corrections)**: -5.51 eV/atom
**Calculated density**: 9231 kg/m³
**Fermi-level density of states**: 5.1 states/eV/f.u.
**ΔH_f (0 K)**: 0.138 eV per atom
**Space group**: No. 166